(1)
{"formula": "BeHgMo4", "functional": "PBE", "state": "relaxed", "n_ef_per_ev_cell": 8.191, "total_energy_ev_per_cell": -42.8, "mass_density_g_cm3": 9.623, "magnetic_moment_mub_per_fu": 0.00, "formation_energy_ev_per_atom": 0.753, "lattice_angstrom": [[0.000, 3.713, 3.713], [3.713, 0.000, 3.713], [3.713, 3.713, 0.000]], "species": ["Be", "Hg", "Mo", "Mo", "Mo", "Mo"], "fractional_positions": [[0.000, 0.000, 0.000], [0.750, 0.750, 0.750], [0.375, 0.375, 0.375], [0.375, 0.375, 0.876], [0.375, 0.876, 0.375], [0.876, 0.375, 0.375]]}


(2)
{"formula": "NaCuSb3", "functional": "PBE", "state": "relaxed", "e_above_lowest_polymorph_ev_per_atom": 1.1301, "n_ef_per_ev_cell": 3.824, "total_energy_ev_per_cell": -12.5, "mass_density_g_cm3": 4.928, "magnetic_moment_mub_per_fu": 0.00, "lattice_angstrom": [[5.340, 0.000, 0.000], [0.000, 5.340, 0.000], [0.000, 0.000, 5.340]], "species": ["Na", "Cu", "Sb", "Sb", "Sb"], "fractional_positions": [[0.000, 0.000, 0.000], [0.500, 0.500, 0.500], [0.000, 0.000, 0.500], [0.000, 0.500, 0.000], [0.500, 0.000, 0.000]]}


(3)
{"formula": "CdCu8Au4", "functional": "PBE", "state": "relaxed", "n_ef_per_ev_cell": 3.634, "total_energy_ev_per_cell": -46.5, "mass_density_g_cm3": 11.775, "magnetic_moment_mub_per_fu": 0.00, "formation_energy_ev_per_atom": 0.024, "lattice_angstrom": [[2.789, 0.000, 0.000], [0.000, 4.353, 0.000], [0.000, 0.000, 16.363]], "species": ["Cd", "Cu", "Cu", "Cu", "Cu", "Cu", "Cu", "Cu", "Cu", "Au", "Au", "Au", "Au"], "fractional_positions": [[0.000, 0.000, 0.000], [0.000, 0.000, 0.554], [0.000, 0.000, 0.836], [0.000, 0.500, 0.171], [0.000, 0.500, 0.743], [0.500, 0.000, 0.139], [0.500, 0.000, 0.418], [0.500, 0.500, 0.313], [0.500, 0.500, 0.601], [0.000, 0.000, 0.276], [0.000, 0.500, 0.458], [0.500, 0.000, 0.695], [0.500, 0.500, 0.892]]}


(4)
{"formula": "Sr2LaY2", "functional": "PBE", "state": "relaxed", "e_above_lowest_polymorph_ev_per_atom": 0.0207, "n_ef_per_ev_cell": 19.743, "total_energy_ev_per_cell": -39.0, "mass_density_g_cm3": 4.130, "magnetic_moment_mub_per_fu": 0.00, "formation_energy_ev_per_atom": 0.349, "lattice_angstrom": [[9.898, 0.000, 0.000], [0.000, 9.898, 0.000], [0.000, 0.000, 4.038]], "species": ["Sr", "Sr", "Sr", "Sr", "La", "La", "Y", "Y", "Y", "Y"], "fractional_positions": [[0.136, 0.364, 0.000], [0.364, 0.864, 0.000], [0.636, 0.136, 0.000], [0.864, 0.636, 0.000], [0.000, 0.000, 0.000], [0.500, 0.500, 0.000], [0.164, 0.664, 0.500], [0.336, 0.164, 0.500], [0.664, 0.836, 0.500], [0.836, 0.336, 0.500]]}